{"formula": "Re2BPC", "functional": "PBE", "state": "optimized geometry", "lattice_angstrom": [[4.4587, 0.0000, 0.0000], [0.0000, 3.3166, 0.0000], [0.0000, 0.0000, 4.4587]], "species": ["Re", "P", "C", "B", "Re"], "frac_coords": [[0.5000, 0.0000, 0.0000], [0.0000, 0.0000, 0.0000], [0.0000, 0.5000, 0.0000], [0.5000, 0.5000, 0.5000], [0.0000, 0.0000, 0.5000]], "total_magnetization_mub_per_atom": 0.000, "sg": "No. 123", "density_g_cm3": 10.734, "total_energy_ev_per_cell": -36.6}

=====

{"formula": "BP2RhC", "functional": "PBE", "state": "optimized geometry", "lattice_angstrom": [[-3.6423, -1.5752, 1.3012], [0.6554, -2.4947, -1.1855], [3.5406, -0.7934, 3.6267]], "species": ["C", "P", "P", "Rh", "B"], "frac_coords": [[0.5659, 0.5000, 0.1541], [0.9032, 0.0000, 0.8041], [0.3235, 0.0000, 0.2063], [0.0933, 0.5000, 0.5123], [0.5657, 0.5000, 0.8456]], "total_magnetization_mub_per_atom": 0.000, "sg": "No. 6", "density_g_cm3": 5.415, "total_energy_ev_per_cell": -33.4, "relative_energy_ev_per_fu": 0.98}

=====

{"formula": "BP2RhC", "functional": "PBE", "state": "optimized geometry", "lattice_angstrom": [[-1.6155, -0.3725, 2.5892], [2.0807, -3.5731, -0.5360], [4.0850, 2.1264, 2.8014]], "species": ["P", "Rh", "B", "C", "P"], "frac_coords": [[0.0128, 0.5328, 0.3169], [0.8331, 0.0281, 0.4970], [0.9950, 0.5168, 0.6923], [0.5675, 0.6844, 0.1757], [0.5625, 0.6895, 0.8406]], "total_magnetization_mub_per_atom": 0.000, "sg": "No. 1", "density_g_cm3": 4.682, "total_energy_ev_per_cell": -33.2, "relative_energy_ev_per_fu": 1.18}